Below is a relaxed TaInMoO6 crystal, with properties calculated at the PBE with a Hubbard U level.

Space group = P-31c, No. 163
Size of the total moment = 2.00 μB/f.u.
E_tot = -7.73 eV per atom
Crystal system = trigonal

Structure (POSCAR):
```
TaInMoO6
1.0
5.291 0.000 0.000
-2.645 4.582 0.000
0.000 0.000 9.164
Ta In Mo O
2 2 2 12
direct
0.333 0.667 0.250
0.667 0.333 0.750
0.333 0.667 0.750
0.667 0.333 0.250
0.000 0.000 0.000
0.000 0.000 0.500
0.029 0.341 0.128
0.029 0.689 0.372
0.311 0.341 0.372
0.311 0.971 0.128
0.341 0.029 0.628
0.341 0.311 0.872
0.659 0.689 0.128
0.659 0.971 0.372
0.689 0.029 0.872
0.689 0.659 0.628
0.971 0.311 0.628
0.971 0.659 0.872
```